First-principles (PBE with a Hubbard U) data for an optimized crystal structure of BaMo2PtO8, as listed in Alexandria via LeMat-Bulk.

The space group is C2/m (No. 12) and the conventional cell measures 9.184, 6.116 and 7.805 Å, with angles of 90.00, 92.93 and 90.00 degrees. Symmetry generates all atoms from Ba at (0.000, 0.000, 0.000), Mo at (0.133, 0.500, 0.283), Pt at (0.000, 0.000, 0.500), O at (0.022, 0.252, 0.294), O at (0.211, 0.500, 0.079) and O at (0.228, 0.000, 0.548).

The calculation puts the total energy at -0.492 Ry per atom.